Computed, not measured: crystalline TbTmSc2Se4 at its relaxed geometry at the PBE level of DFT.

## Properties
Energy relative to the elements, uncorrected in eV per atom: -1.648
Spin magnetization in μB per cell: 0.0

```
data_TbTmSc2Se4
_chemical_formula_sum 'Tb1 Tm1 Sc2 Se4'
_space_group_name_H-M_alt 'P 1'
_space_group_IT_number 1
_space_group_name_Hall 'P 1'
_cell_length_a 3.9386
_cell_length_b 6.8812
_cell_length_c 6.8985
_cell_angle_alpha 70.90
_cell_angle_beta 90.00
_cell_angle_gamma 90.00
loop_
_atom_site_label
_atom_site_fract_x
_atom_site_fract_y
_atom_site_fract_z
Se1 0.5000 0.7621 0.2495
Se2 0.0000 0.7648 0.7415
Se3 0.5000 0.2379 0.7505
Tb1 0.5000 0.5000 0.0000
Sc1 0.5000 0.0000 0.5000
Sc2 0.0000 0.0000 0.0000
Tm1 0.0000 0.5000 0.5000
Se4 0.0000 0.2352 0.2585
```

=====

Computed, not measured: crystalline TbTm2ScSe6 at its relaxed geometry at the PBE level of DFT.

## Properties
Energy relative to the elements, uncorrected in eV per atom: -1.791
Spin magnetization in μB per cell: 0.0

```
data_TbTm2ScSe6
_chemical_formula_sum 'Tb1 Tm2 Sc1 Se6'
_space_group_name_H-M_alt 'P 1'
_space_group_IT_number 1
_space_group_name_Hall 'P 1'
_cell_length_a 7.0585
_cell_length_b 7.0585
_cell_length_c 7.5716
_cell_angle_alpha 62.22
_cell_angle_beta 62.22
_cell_angle_gamma 60.00
loop_
_atom_site_label
_atom_site_fract_x
_atom_site_fract_y
_atom_site_fract_z
Se1 0.1161 0.4112 0.7567
Se2 0.4111 0.7161 0.7566
Tb1 0.8180 0.8180 0.5460
Tm1 0.5150 0.5149 0.4552
Se3 0.2249 0.9303 0.2486
Se4 0.9304 0.5962 0.2486
Tm2 0.0120 0.0120 0.9641
Se5 0.5962 0.2249 0.2486
Se6 0.7161 0.1160 0.7567
Sc1 0.3219 0.3219 0.0342
```

=====

Computed, not measured: crystalline Tb3TmSc2Se6 at its relaxed geometry at the PBE level of DFT.

## Properties
Energy relative to the elements, uncorrected in eV per atom: -1.691
Spin magnetization in μB per cell: 0.0

```
data_Tb3TmSc2Se6
_chemical_formula_sum 'Tb3 Tm1 Sc2 Se6'
_space_group_name_H-M_alt 'P 1'
_space_group_IT_number 1
_space_group_name_Hall 'P 1'
_cell_length_a 6.9331
_cell_length_b 6.9331
_cell_length_c 6.9912
_cell_angle_alpha 99.49
_cell_angle_beta 99.49
_cell_angle_gamma 120.29
loop_
_atom_site_label
_atom_site_fract_x
_atom_site_fract_y
_atom_site_fract_z
Tb1 0.1636 0.8364 0.5000
Se1 0.5818 0.9208 0.7628
Se2 0.9208 0.5818 0.7628
Tb2 0.8364 0.1636 0.5000
Tb3 0.5000 0.5000 0.5000
Tm1 0.0000 0.0000 0.0000
Se3 0.2618 0.2618 0.7663
Se4 0.7382 0.7382 0.2337
Sc1 0.3328 0.6672 0.0000
Se5 0.0792 0.4182 0.2372
Sc2 0.6672 0.3328 0.0000
Se6 0.4182 0.0792 0.2372
```

=====

Computed, not measured: crystalline TbTm2ScSe4 at its relaxed geometry at the PBE level of DFT.

## Properties
Energy relative to the elements, uncorrected in eV per atom: -1.661
Spin magnetization in μB per cell: 0.0

```
data_TbTm2ScSe4
_chemical_formula_sum 'Tb1 Tm2 Sc1 Se4'
_space_group_name_H-M_alt 'P 1'
_space_group_IT_number 1
_space_group_name_Hall 'P 1'
_cell_length_a 3.9670
_cell_length_b 6.9383
_cell_length_c 6.9896
_cell_angle_alpha 71.02
_cell_angle_beta 90.00
_cell_angle_gamma 90.00
loop_
_atom_site_label
_atom_site_fract_x
_atom_site_fract_y
_atom_site_fract_z
Sc1 0.0000 0.5000 0.5000
Tm1 0.0000 0.0000 0.0000
Tb1 0.5000 0.5000 0.0000
Se1 0.0000 0.2481 0.2580
Se2 0.5000 0.7465 0.2584
Se3 0.0000 0.7519 0.7420
Tm2 0.5000 0.0000 0.5000
Se4 0.5000 0.2535 0.7416
```

=====

Computed, not measured: crystalline Tb2TmScSe4 at its relaxed geometry at the PBE level of DFT.

## Properties
Energy relative to the elements, uncorrected in eV per atom: -1.693
Spin magnetization in μB per cell: 0.0

```
data_Tb2TmScSe4
_chemical_formula_sum 'Tb2 Tm1 Sc1 Se4'
_space_group_name_H-M_alt 'P 1'
_space_group_IT_number 1
_space_group_name_Hall 'P 1'
_cell_length_a 3.9795
_cell_length_b 6.9354
_cell_length_c 7.0596
_cell_angle_alpha 108.94
_cell_angle_beta 90.00
_cell_angle_gamma 90.00
loop_
_atom_site_label
_atom_site_fract_x
_atom_site_fract_y
_atom_site_fract_z
Tb1 0.5000 0.0000 0.5000
Se1 0.0000 0.7507 0.2392
Tb2 0.0000 0.5000 0.5000
Se2 0.5000 0.7590 0.7640
Se3 0.5000 0.2410 0.2360
Sc1 0.0000 0.0000 0.0000
Se4 0.0000 0.2493 0.7608
Tm1 0.5000 0.5000 0.0000
```

=====

Computed, not measured: crystalline Tb2YScSe6 at its relaxed geometry at the PBE level of DFT.

## Properties
Energy relative to the elements, uncorrected in eV per atom: -1.802
Spin magnetization in μB per cell: 0.0

```
data_Tb2YScSe6
_chemical_formula_sum 'Tb2 Y1 Sc1 Se6'
_space_group_name_H-M_alt 'P 1'
_space_group_IT_number 1
_space_group_name_Hall 'P 1'
_cell_length_a 7.1247
_cell_length_b 7.1247
_cell_length_c 7.6136
_cell_angle_alpha 62.10
_cell_angle_beta 62.10
_cell_angle_gamma 59.99
loop_
_atom_site_label
_atom_site_fract_x
_atom_site_fract_y
_atom_site_fract_z
Y1 0.8190 0.8190 0.5429
Se1 0.2173 0.9386 0.2513
Se2 0.7081 0.1105 0.7597
Se3 0.9386 0.5928 0.2513
Se4 0.1105 0.4218 0.7597
Se5 0.5928 0.2173 0.2513
Sc1 0.3220 0.3220 0.0340
Se6 0.4217 0.7081 0.7597
Tb1 0.0146 0.0147 0.9561
Tb2 0.5170 0.5170 0.4490
```

=====

Computed, not measured: crystalline TbYSc2Se6 at its relaxed geometry at the PBE level of DFT.

## Properties
Energy relative to the elements, uncorrected in eV per atom: -1.754
Spin magnetization in μB per cell: 0.0

```
data_TbYSc2Se6
_chemical_formula_sum 'Tb1 Y1 Sc2 Se6'
_space_group_name_H-M_alt 'P 1'
_space_group_IT_number 1
_space_group_name_Hall 'P 1'
_cell_length_a 7.0140
_cell_length_b 7.0140
_cell_length_c 7.4782
_cell_angle_alpha 62.03
_cell_angle_beta 62.03
_cell_angle_gamma 60.00
loop_
_atom_site_label
_atom_site_fract_x
_atom_site_fract_y
_atom_site_fract_z
Sc1 0.0095 0.0096 0.9714
Se1 0.1274 0.3891 0.7441
Y1 0.3157 0.3157 0.0529
Tb1 0.8149 0.8149 0.5553
Sc2 0.5100 0.5099 0.4702
Se2 0.2391 0.8909 0.2444
Se3 0.8909 0.6257 0.2444
Se4 0.6257 0.2391 0.2444
Se5 0.3891 0.7394 0.7441
Se6 0.7394 0.1274 0.7441
```

=====

Computed, not measured: crystalline TbY2ScSe4 at its relaxed geometry at the PBE level of DFT.

## Properties
Energy relative to the elements, uncorrected in eV per atom: -1.711
Spin magnetization in μB per cell: 0.0

```
data_TbY2ScSe4
_chemical_formula_sum 'Tb1 Y2 Sc1 Se4'
_space_group_name_H-M_alt 'P 1'
_space_group_IT_number 1
_space_group_name_Hall 'P 1'
_cell_length_a 4.0074
_cell_length_b 7.0131
_cell_length_c 7.0297
_cell_angle_alpha 70.94
_cell_angle_beta 90.00
_cell_angle_gamma 90.00
loop_
_atom_site_label
_atom_site_fract_x
_atom_site_fract_y
_atom_site_fract_z
Sc1 0.5000 0.5000 0.0000
Se1 0.5000 0.2548 0.7561
Y1 0.5000 0.0000 0.5000
Se2 0.0000 0.7396 0.7610
Tb1 0.0000 0.5000 0.5000
Y2 0.0000 0.0000 0.0000
Se3 0.5000 0.7452 0.2439
Se4 0.0000 0.2604 0.2390
```

=====

Computed, not measured: crystalline Tb3YSc2Se6 at its relaxed geometry at the PBE level of DFT.

## Properties
Energy relative to the elements, uncorrected in eV per atom: -1.704
Spin magnetization in μB per cell: 0.0

```
data_Tb3YSc2Se6
_chemical_formula_sum 'Tb3 Y1 Sc2 Se6'
_space_group_name_H-M_alt 'P 1'
_space_group_IT_number 1
_space_group_name_Hall 'P 1'
_cell_length_a 6.9620
_cell_length_b 6.9620
_cell_length_c 6.9919
_cell_angle_alpha 99.53
_cell_angle_beta 99.53
_cell_angle_gamma 120.21
loop_
_atom_site_label
_atom_site_fract_x
_atom_site_fract_y
_atom_site_fract_z
Se1 0.2653 0.2653 0.7651
Se2 0.7347 0.7347 0.2349
Tb1 0.5000 0.5000 0.5000
Se3 0.9204 0.5765 0.7601
Tb2 0.1606 0.8394 0.5000
Sc1 0.3345 0.6655 0.0000
Sc2 0.6655 0.3345 0.0000
Se4 0.5765 0.9204 0.7601
Tb3 0.8394 0.1606 0.5000
Y1 0.0000 0.0000 0.0000
Se5 0.4235 0.0796 0.2399
Se6 0.0796 0.4235 0.2399
```

=====

Computed, not measured: crystalline TbY2Sc3Se6 at its relaxed geometry at the PBE level of DFT.

## Properties
Energy relative to the elements, uncorrected in eV per atom: -1.675
Spin magnetization in μB per cell: 0.0

```
data_TbY2Sc3Se6
_chemical_formula_sum 'Tb1 Y2 Sc3 Se6'
_space_group_name_H-M_alt 'P 1'
_space_group_IT_number 1
_space_group_name_Hall 'P 1'
_cell_length_a 6.8921
_cell_length_b 6.8921
_cell_length_c 6.9262
_cell_angle_alpha 99.50
_cell_angle_beta 99.50
_cell_angle_gamma 120.25
loop_
_atom_site_label
_atom_site_fract_x
_atom_site_fract_y
_atom_site_fract_z
Se1 0.4228 0.0889 0.2666
Tb1 0.0000 0.0000 0.0000
Se2 0.0889 0.4228 0.2666
Se3 0.2449 0.2449 0.7334
Se4 0.7551 0.7551 0.2666
Se5 0.9111 0.5772 0.7334
Y1 0.6666 0.3334 0.0000
Y2 0.3334 0.6666 0.0000
Sc1 0.5000 0.5000 0.5000
Se6 0.5772 0.9111 0.7334
Sc2 0.8335 0.1665 0.5000
Sc3 0.1665 0.8335 0.5000
```

=====

Computed, not measured: crystalline TbYSc2Se4 at its relaxed geometry at the PBE level of DFT.

## Properties
Energy relative to the elements, uncorrected in eV per atom: -1.673
Spin magnetization in μB per cell: 0.0

```
data_TbYSc2Se4
_chemical_formula_sum 'Tb1 Y1 Sc2 Se4'
_space_group_name_H-M_alt 'P 1'
_space_group_IT_number 1
_space_group_name_Hall 'P 1'
_cell_length_a 3.9548
_cell_length_b 6.9376
_cell_length_c 6.9021
_cell_angle_alpha 70.89
_cell_angle_beta 90.00
_cell_angle_gamma 90.00
loop_
_atom_site_label
_atom_site_fract_x
_atom_site_fract_y
_atom_site_fract_z
Se1 0.5000 0.2329 0.7561
Se2 0.0000 0.7668 0.7448
Se3 0.0000 0.2332 0.2552
Sc1 0.5000 0.0000 0.5000
Tb1 0.0000 0.5000 0.5000
Sc2 0.0000 0.0000 0.0000
Y1 0.5000 0.5000 0.0000
Se4 0.5000 0.7671 0.2439
```

=====

Computed, not measured: crystalline Tb2YScSe4 at its relaxed geometry at the PBE level of DFT.

## Properties
Energy relative to the elements, uncorrected in eV per atom: -1.713
Spin magnetization in μB per cell: 0.0

```
data_Tb2YScSe4
_chemical_formula_sum 'Tb2 Y1 Sc1 Se4'
_space_group_name_H-M_alt 'P 1'
_space_group_IT_number 1
_space_group_name_Hall 'P 1'
_cell_length_a 4.0054
_cell_length_b 7.0335
_cell_length_c 7.0180
_cell_angle_alpha 70.98
_cell_angle_beta 90.00
_cell_angle_gamma 90.00
loop_
_atom_site_label
_atom_site_fract_x
_atom_site_fract_y
_atom_site_fract_z
Tb1 0.5000 0.0000 0.5000
Sc1 0.5000 0.5000 0.0000
Se1 0.5000 0.7437 0.2449
Se2 0.5000 0.2563 0.7551
Y1 0.0000 0.5000 0.5000
Se3 0.0000 0.7384 0.7609
Se4 0.0000 0.2616 0.2391
Tb2 0.0000 0.0000 0.0000
```

=====

Computed, not measured: crystalline Sc2Tc2Se at its relaxed geometry at the PBE level of DFT.

## Properties
Energy relative to the elements, uncorrected in eV per atom: -0.427
Distance to the lowest polymorph of the same formula in meV per atom: 0.0
Spin magnetization in μB per cell: 0.0

```
data_Sc2Tc2Se
_chemical_formula_sum 'Sc2 Tc2 Se1'
_space_group_name_H-M_alt 'P 1'
_space_group_IT_number 1
_space_group_name_Hall 'P 1'
_cell_length_a 3.5188
_cell_length_b 3.5188
_cell_length_c 8.2579
_cell_angle_alpha 77.70
_cell_angle_beta 77.70
_cell_angle_gamma 90.00
loop_
_atom_site_label
_atom_site_fract_x
_atom_site_fract_y
_atom_site_fract_z
Sc1 0.3957 0.3957 0.2087
Tc1 0.7500 0.2500 0.5000
Sc2 0.6043 0.6043 0.7913
Se1 0.0000 0.0000 0.0000
Tc2 0.2500 0.7500 0.5000
```